# 1
VASP calculation (PBE) on a geometry-optimized PrMg4Cd2 structure.

**Crystal system**: tetragonal
**Calculated total energy**: -2.0095 eV per atom
**D(E_F)**: 8.5 states/eV per cell

abc: 8.524 8.524 4.740
angles: 90.00 90.00 90.00
Space group P4_2/mnm (No. 136)
One atom of each set of equivalent atoms:
Pr 0.000 0.000 0.000 [2 per cell]
Mg 0.096 0.346 0.500 [8 per cell]
Cd 0.213 0.787 0.500 [4 per cell]

=====

# 2
VASP calculation (PBE) on a geometry-optimized BeTcC3 structure.

**Crystal system**: cubic
**Calculated total energy**: -6.1097 eV per atom
**D(E_F)**: 3.3 states/eV per cell

abc: 3.500 3.500 3.500
angles: 90.00 90.00 90.00
Space group Pm-3m (No. 221)
One atom of each set of equivalent atoms:
Be 0.000 0.000 0.000 [1 per cell]
Tc 0.500 0.500 0.500 [1 per cell]
C 0.000 0.000 0.500 [3 per cell]

=====

# 3
VASP calculation (PBE) on a geometry-optimized Ca4Np3ZnN8 structure.

**Crystal system**: trigonal
**Calculated total energy**: -8.1524 eV per atom
**Raw formation energy**: -983 meV per atom
**D(E_F)**: 39.8 states/eV per cell

abc: 6.8388 6.8388 17.0511
angles: 90.00 90.00 120.00
Space group R-3m (No. 166, hexagonal axes)
One atom of each set of equivalent atoms:
Ca 0.0000 0.0000 0.0000 [3 per cell]
Ca 0.0000 0.5000 0.0000 [9 per cell]
Np 0.0000 0.5000 0.5000 [9 per cell]
Zn 0.0000 0.0000 0.5000 [3 per cell]
N 0.0000 0.0000 0.2410 [6 per cell]
N 0.0189 0.5095 0.7610 [18 per cell]

=====

# 4
VASP calculation (PBE) on a geometry-optimized Ba2VReSe structure.

**Crystal system**: tetragonal
**Calculated total energy**: -4.9759 eV per atom
**Raw formation energy**: 803 meV per atom
**D(E_F)**: 7.3 states/eV per cell

abc: 6.278 6.278 4.663
angles: 90.00 90.00 90.00
Space group P4/mmm (No. 123)
One atom of each set of equivalent atoms:
Ba 0.000 0.500 0.000 [2 per cell]
V 0.000 0.000 0.500 [1 per cell]
Re 0.500 0.500 0.500 [1 per cell]
Se 0.000 0.000 0.000 [1 per cell]

=====

# 5
VASP calculation (PBE) on a geometry-optimized Na2SrInHg structure.

**Crystal system**: tetragonal
**Calculated total energy**: -1.4112 eV per atom
**D(E_F)**: 3.8 states/eV per cell

abc: 5.852 5.852 6.442
angles: 90.00 90.00 90.00
Space group P4/mmm (No. 123)
One atom of each set of equivalent atoms:
Na 0.000 0.500 0.000 [2 per cell]
Sr 0.000 0.000 0.500 [1 per cell]
In 0.000 0.000 0.000 [1 per cell]
Hg 0.500 0.500 0.500 [1 per cell]

=====

# 6
VASP calculation (PBE) on a geometry-optimized LiPmThTc structure.

**Crystal system**: cubic
**Calculated total energy**: -6.1145 eV per atom
**D(E_F)**: 10.7 states/eV per cell

abc: 7.170 7.170 7.170
angles: 90.00 90.00 90.00
Space group F-43m (No. 216)
One atom of each set of equivalent atoms:
Li 0.000 0.000 0.000 [4 per cell]
Pm 0.250 0.250 0.750 [4 per cell]
Th 0.250 0.250 0.250 [4 per cell]
Tc 0.000 0.000 0.500 [4 per cell]

=====

# 7
VASP calculation (PBE) on a geometry-optimized Er2PuThBi4 structure.

**Crystal system**: monoclinic
**Calculated total energy**: -6.4508 eV per atom
**D(E_F)**: 17.1 states/eV per cell

abc: 7.800 4.522 7.827
angles: 90.00 109.52 90.00
Space group P2/m (No. 10)
One atom of each set of equivalent atoms:
Er 0.000 0.000 0.000 [1 per cell]
Er 0.000 0.500 0.500 [1 per cell]
Pu 0.500 0.000 0.500 [1 per cell]
Th 0.500 0.500 0.000 [1 per cell]
Bi 0.240 0.000 0.745 [2 per cell]
Bi 0.242 0.500 0.249 [2 per cell]

=====

# 8
VASP calculation (PBE) on a geometry-optimized NbIrPbO6 structure.

**Crystal system**: orthorhombic
**Calculated total energy**: -7.2145 eV per atom
**Raw formation energy**: -1394 meV per atom
**D(E_F)**: 22.3 states/eV per cell

abc: 7.163 7.473 10.577
angles: 90.00 90.00 90.00
Space group Imma (No. 74)
One atom of each set of equivalent atoms:
Nb 0.000 0.000 0.000 [4 per cell]
Ir 0.250 0.250 0.250 [4 per cell]
Pb 0.000 0.250 0.532 [4 per cell]
O 0.000 0.250 0.317 [4 per cell]
O 0.000 0.250 0.937 [4 per cell]
O 0.209 0.069 0.119 [16 per cell]

=====

# 9
VASP calculation (PBE) on a geometry-optimized HfTaMo2C structure.

**Crystal system**: tetragonal
**Calculated total energy**: -7.2824 eV per atom
**D(E_F)**: 5.9 states/eV per cell

abc: 4.712 4.712 5.021
angles: 90.00 90.00 90.00
Space group P4/mmm (No. 123)
One atom of each set of equivalent atoms:
Hf 0.000 0.000 0.000 [1 per cell]
Ta 0.000 0.000 0.500 [1 per cell]
Mo 0.000 0.500 0.000 [2 per cell]
C 0.500 0.500 0.500 [1 per cell]

=====

# 10
VASP calculation (PBE) on a geometry-optimized LiTl2HgH structure.

**Crystal system**: tetragonal
**Calculated total energy**: -2.0700 eV per atom
**D(E_F)**: 2.4 states/eV per cell

abc: 5.356 5.356 3.762
angles: 90.00 90.00 90.00
Space group P4/mmm (No. 123)
One atom of each set of equivalent atoms:
Li 0.000 0.000 0.000 [1 per cell]
Tl 0.000 0.500 0.500 [2 per cell]
Hg 0.500 0.500 0.000 [1 per cell]
H 0.000 0.000 0.500 [1 per cell]

=====

# 11
VASP calculation (PBE) on a geometry-optimized Tm4Cd5Hg6 structure.

**Crystal system**: orthorhombic
**Calculated total energy**: -1.8758 eV per atom
**D(E_F)**: 26.7 states/eV per cell

abc: 3.769 24.215 15.964
angles: 90.00 90.00 90.00
Space group Cmc2_1 (No. 36)
One atom of each set of equivalent atoms:
Tm 0.000 0.022 0.000 [4 per cell]
Tm 0.000 0.057 0.273 [4 per cell]
Tm 0.000 0.129 0.772 [4 per cell]
Tm 0.000 0.182 0.431 [4 per cell]
Cd 0.000 0.179 0.113 [4 per cell]
Cd 0.000 0.303 0.100 [4 per cell]
Cd 0.000 0.333 0.768 [4 per cell]
Cd 0.000 0.370 0.452 [4 per cell]
Cd 0.000 0.469 0.164 [4 per cell]
Hg 0.000 0.102 0.577 [4 per cell]
Hg 0.000 0.221 0.936 [4 per cell]
Hg 0.000 0.267 0.273 [4 per cell]
Hg 0.000 0.415 0.623 [4 per cell]
Hg 0.000 0.422 0.925 [4 per cell]
Hg 0.000 0.464 0.343 [4 per cell]

=====

# 12
VASP calculation (PBE) on a geometry-optimized ZrZnAu structure.

**Crystal system**: orthorhombic
**Calculated total energy**: -4.8289 eV per atom
**D(E_F)**: 6.4 states/eV per cell

abc: 4.586 5.840 8.053
angles: 90.00 90.00 90.00
Space group Immm (No. 71)
One atom of each set of equivalent atoms:
Zr 0.000 0.248 0.000 [4 per cell]
Zn 0.000 0.000 0.340 [4 per cell]
Au 0.000 0.500 0.326 [4 per cell]

=====

# 13
VASP calculation (PBE) on a geometry-optimized CuSiAg2 structure.

**Crystal system**: tetragonal
**Calculated total energy**: -3.3851 eV per atom
**Raw formation energy**: 420 meV per atom
**D(E_F)**: 8.2 states/eV per cell

abc: 7.234 7.234 5.280
angles: 90.00 90.00 90.00
Space group I-42d (No. 122)
One atom of each set of equivalent atoms:
Cu 0.000 0.000 0.000 [4 per cell]
Si 0.000 0.000 0.500 [4 per cell]
Ag 0.238 0.250 0.625 [8 per cell]

=====

# 14
VASP calculation (PBE) on a geometry-optimized Sc8Ru2Se structure.

**Crystal system**: monoclinic
**Calculated total energy**: -7.0553 eV per atom
**Raw formation energy**: -447 meV per atom
**D(E_F)**: 21.1 states/eV per cell

abc: 7.795 11.949 5.537
angles: 90.00 110.80 90.00
Space group Cm (No. 8)
One atom of each set of equivalent atoms:
Sc 0.000 0.000 0.000 [2 per cell]
Sc 0.084 0.369 0.785 [4 per cell]
Sc 0.155 0.132 0.583 [4 per cell]
Sc 0.248 0.500 0.379 [2 per cell]
Sc 0.372 0.219 0.183 [4 per cell]
Ru 0.376 0.311 0.702 [4 per cell]
Se 0.367 0.000 0.371 [2 per cell]

=====

# 15
VASP calculation (PBE) on a geometry-optimized RuPtBr2 structure.

**Crystal system**: tetragonal
**Calculated total energy**: -3.7283 eV per atom
**Raw formation energy**: 937 meV per atom
**D(E_F)**: 4.3 states/eV per cell

abc: 3.176 3.176 7.209
angles: 90.00 90.00 90.00
Space group P4/mmm (No. 123)
One atom of each set of equivalent atoms:
Ru 0.000 0.000 0.000 [1 per cell]
Pt 0.000 0.000 0.500 [1 per cell]
Br 0.500 0.500 0.226 [2 per cell]

=====

# 16
VASP calculation (PBE) on a geometry-optimized VPbSe3 structure.

**Crystal system**: cubic
**Calculated total energy**: -4.9319 eV per atom
**Raw formation energy**: -276 meV per atom
**D(E_F)**: 4.5 states/eV per cell

abc: 4.940 4.940 4.940
angles: 90.00 90.00 90.00
Space group Pm-3m (No. 221)
One atom of each set of equivalent atoms:
V 0.000 0.000 0.000 [1 per cell]
Pb 0.500 0.500 0.500 [1 per cell]
Se 0.000 0.000 0.500 [3 per cell]

=====

# 17
VASP calculation (PBE) on a geometry-optimized Pm3Zn2Au3 structure.

**Crystal system**: orthorhombic
**Calculated total energy**: -3.9918 eV per atom
**D(E_F)**: 23.9 states/eV per cell

abc: 4.543 10.709 15.187
angles: 90.00 90.00 90.00
Space group Cmcm (No. 63)
One atom of each set of equivalent atoms:
Pm 0.000 0.087 0.103 [8 per cell]
Pm 0.000 0.369 0.250 [4 per cell]
Zn 0.000 0.211 0.600 [8 per cell]
Au 0.000 0.345 0.750 [4 per cell]
Au 0.000 0.384 0.046 [8 per cell]

=====

# 18
VASP calculation (PBE) on a geometry-optimized Na2Ca3B5H2S2ClO18 structure.

**Crystal system**: monoclinic
**Calculated total energy**: -6.7315 eV per atom
**D(E_F)**: 0.0 states/eV per cell

abc: 10.205 7.939 18.989
angles: 90.00 92.76 90.00
Space group C2/c (No. 15)
One atom of each set of equivalent atoms:
Na 0.155 0.223 0.075 [8 per cell]
Ca 0.000 0.109 0.250 [4 per cell]
Ca 0.086 0.239 0.598 [8 per cell]
B 0.000 0.308 0.750 [4 per cell]
B 0.167 0.486 0.817 [8 per cell]
B 0.239 0.232 0.749 [8 per cell]
H 0.152 0.452 0.422 [8 per cell]
S 0.138 0.025 0.423 [8 per cell]
Cl 0.000 0.500 0.000 [4 per cell]
O 0.015 0.047 0.375 [8 per cell]
O 0.041 0.400 0.814 [8 per cell]
O 0.110 0.191 0.729 [8 per cell]
O 0.134 0.144 0.482 [8 per cell]
O 0.136 0.153 0.949 [8 per cell]
O 0.156 0.357 0.273 [8 per cell]
O 0.220 0.471 0.388 [8 per cell]
O 0.229 0.128 0.211 [8 per cell]
O 0.245 0.449 0.619 [8 per cell]

=====

# 19
VASP calculation (PBE) on a geometry-optimized AcPm2Ho2Tm2 structure.

**Crystal system**: monoclinic
**Calculated total energy**: -4.4827 eV per atom
**D(E_F)**: 20.9 states/eV per cell

abc: 11.469 5.115 8.086
angles: 90.00 98.51 90.00
Space group C2/m (No. 12)
One atom of each set of equivalent atoms:
Ac 0.000 0.000 0.000 [2 per cell]
Pm 0.215 0.500 0.152 [4 per cell]
Ho 0.074 0.500 0.705 [4 per cell]
Tm 0.142 0.000 0.434 [4 per cell]

=====

# 20
VASP calculation (PBE) on a geometry-optimized KCuSb2Te structure.

**Crystal system**: tetragonal
**Calculated total energy**: -3.2776 eV per atom
**Raw formation energy**: 38 meV per atom
**D(E_F)**: 3.1 states/eV per cell

abc: 5.161 5.161 5.647
angles: 90.00 90.00 90.00
Space group P4/mmm (No. 123)
One atom of each set of equivalent atoms:
K 0.000 0.000 0.000 [1 per cell]
Cu 0.500 0.500 0.500 [1 per cell]
Sb 0.000 0.500 0.500 [2 per cell]
Te 0.500 0.500 0.000 [1 per cell]

=====

# 21
VASP calculation (PBE) on a geometry-optimized DyMoAs2 structure.

**Crystal system**: trigonal
**Calculated total energy**: -6.7820 eV per atom
**D(E_F)**: 9.1 states/eV per cell

abc: 3.9813 3.9813 18.0541
angles: 90.00 90.00 120.00
Space group R-3m (No. 166, hexagonal axes)
One atom of each set of equivalent atoms:
Dy 0.0000 0.0000 0.0000 [3 per cell]
Mo 0.0000 0.0000 0.5000 [3 per cell]
As 0.0000 0.0000 0.2385 [6 per cell]